9
Lattice="6.558 5.257 0.325 -7.832 3.002 0.624 0.158 -0.454 4.158" Properties=species:S:1:pos:R:3 comment="In2Se | Alexandria via LeMat-Bulk | GGA-PBE | optimized geometry" de_polymorph_kj_per_mol_atoms=16.2 total_energy_ev_per_atom=-3.12 pbc="T T T"
In -0.439 3.132 2.465
In -2.127 0.816 0.170
Se 1.761 4.505 0.425
In 3.970 2.893 2.272
In -4.569 1.555 2.450
Se 0.079 -0.227 2.079
In 1.781 1.428 0.088
Se -3.035 3.754 0.525
In -0.928 6.016 0.691

4
Lattice="-7.423 -1.723 -5.396 -8.436 -2.627 -3.019 -8.594 0.032 -3.651" Properties=species:S:1:pos:R:3 comment="ReNiW2 | Alexandria via LeMat-Bulk | GGA-PBE | optimized geometry" formation_enthalpy_0k_ev_per_atom=0.293 de_polymorph_kj_per_mol_atoms=22.9 total_energy_ev_per_atom=-10.74 pbc="T T T"
Re -18.470 -3.261 -9.114
W -5.973 -1.055 -2.947
W -0.042 -0.007 -0.020
Ni -12.195 -2.153 -6.017

4
Lattice="-2.874 1.135 -4.891 -2.799 -2.315 1.108 -1.018 3.460 4.658" Properties=species:S:1:pos:R:3 comment="TlTePH | Alexandria via LeMat-Bulk | GGA-PBE | optimized geometry" de_polymorph_kj_per_mol_atoms=2.0 total_energy_ev_per_atom=-3.49 pbc="T T T"
P -2.328 0.018 0.663
H -3.285 1.071 0.446
Te -3.424 2.518 3.117
Tl -2.971 2.421 -2.447

> What is the formula in the third record?

TlTePH

> What is the formula in the third record?

TlTePH